Entry 1:
This record from Alexandria via LeMat-Bulk describes crystalline Ba2Cd5Rh at its relaxed geometry. The functional is PBE.

POSCAR file:
```
Ba2Cd5Rh
1.0
6.4543 0.0004 -0.0015
0.0006 6.4541 -0.0002
-3.2275 -3.2286 6.1086
Cd Ba Rh
5 2 1
direct
0.2737 0.7881 0.0618
0.6741 0.6741 0.3482
0.2736 0.2736 0.0615
0.7881 0.7881 0.0618
0.7880 0.2737 0.0616
0.7903 0.2903 0.5804
0.2903 0.7901 0.5804
0.8989 0.8990 0.7982
```

Properties
D(E_F): 0.794 states/eV/atom
Space group: I4mm
M_tot: 0.000 μB/f.u.

Entry 2:
This record from Alexandria via LeMat-Bulk describes crystalline Ba3Cd3Rh2 at its relaxed geometry. The functional is PBE.

POSCAR file:
```
Ba3Cd3Rh2
1.0
-0.6125 -4.0120 -2.0520
-0.7436 -0.5796 6.3947
-17.2806 3.5038 -1.6920
Cd Ba Rh
6 6 4
direct
0.3277 0.6554 0.9639
0.3277 0.6554 0.5361
0.3591 0.7183 0.2500
0.6723 0.3446 0.4639
0.6723 0.3446 0.0361
0.6409 0.2817 0.7500
0.0573 0.1147 0.8960
0.0573 0.1147 0.6040
0.3443 0.6886 0.7500
0.6557 0.3114 0.2500
0.9427 0.8853 0.3960
0.9427 0.8853 0.1040
0.2409 0.4818 0.1158
0.7591 0.5182 0.6158
0.7591 0.5182 0.8842
0.2409 0.4818 0.3842
```

Properties
D(E_F): 0.616 states/eV/atom
Space group: Cmcm
M_tot: 0.000 μB/f.u.

Entry 3:
This record from Alexandria via LeMat-Bulk describes crystalline BaCdRh2 at its relaxed geometry. The functional is PBE.

POSCAR file:
```
BaCdRh2
1.0
4.8655 0.0000 0.0000
0.0000 4.8655 0.0000
2.4327 2.4327 9.3806
Ba Cd Rh
2 2 4
direct
0.7500 0.2500 0.5000
0.0000 0.0000 0.0000
0.5000 0.5000 0.0000
0.2500 0.7500 0.5000
0.4505 0.1250 0.2500
0.8750 0.7005 0.7500
0.2995 0.6250 0.2500
0.3750 0.5495 0.7500
```

Properties
D(E_F): 0.748 states/eV/atom
Space group: I-42d
M_tot: 0.291 μB/f.u.

Entry 4:
This record from Alexandria via LeMat-Bulk describes crystalline BaCdRh2 at its relaxed geometry. The functional is PBE.

POSCAR file:
```
BaCdRh2
1.0
0.0000 3.5300 3.5300
3.5300 0.0000 3.5300
3.5300 3.5300 0.0000
Ba Cd Rh
1 1 2
direct
0.5000 0.5000 0.5000
0.2500 0.2500 0.2500
0.7500 0.7500 0.7500
0.0000 0.0000 0.0000
```

Properties
D(E_F): 0.774 states/eV/atom
Space group: F-43m
M_tot: 0.000 μB/f.u.

Entry 5:
This record from Alexandria via LeMat-Bulk describes crystalline BaCdRh4 at its relaxed geometry. The functional is PBE.

POSCAR file:
```
BaCdRh4
1.0
0.0000 3.8596 3.8596
3.8596 0.0000 3.8596
3.8596 3.8596 0.0000
Ba Rh Cd
1 4 1
direct
0.7500 0.7500 0.7500
0.8777 0.3741 0.3741
0.3741 0.8777 0.3741
0.3741 0.3741 0.3741
0.3741 0.3741 0.8777
0.0000 0.0000 0.0000
```

Properties
D(E_F): 1.653 states/eV/atom
Space group: F-43m
M_tot: 0.547 μB/f.u.

Entry 6:
This record from Alexandria via LeMat-Bulk describes crystalline Ba2Cd7Rh2 at its relaxed geometry. The functional is PBE.

POSCAR file:
```
Ba2Cd7Rh2
1.0
4.1439 -2.0581 -1.6027
-2.7767 10.3694 1.9394
-2.8286 4.2775 9.6280
Cd Rh Ba
7 2 2
direct
0.3462 0.1147 0.4494
0.0000 0.0000 0.0000
0.3462 0.4494 0.1147
0.6755 0.2249 0.2249
0.3245 0.7751 0.7751
0.6538 0.5506 0.8853
0.6538 0.8853 0.5506
0.1839 0.8949 0.8949
0.8161 0.1051 0.1051
0.5000 0.2852 0.7148
0.5000 0.7148 0.2852
```

Properties
D(E_F): 0.558 states/eV/atom
Space group: Immm
M_tot: 0.000 μB/f.u.

Entry 7:
This record from Alexandria via LeMat-Bulk describes crystalline Ba2Cd3Rh at its relaxed geometry. The functional is PBE.

POSCAR file:
```
Ba2Cd3Rh
1.0
4.7130 0.0000 1.9738
2.1800 5.8475 1.4084
0.0441 -0.2912 6.5085
Cd Ba Rh
3 2 1
direct
0.8128 0.2528 0.1216
0.1678 0.7439 0.9205
0.8639 0.5928 0.6794
0.5480 0.1933 0.7107
0.4396 0.8168 0.3039
0.1678 0.4004 0.2640
```

Properties
D(E_F): 0.773 states/eV/atom
Space group: Cm
M_tot: 0.000 μB/f.u.

Entry 8:
This record from Alexandria via LeMat-Bulk describes crystalline BaCdRh2 at its relaxed geometry. The functional is PBE.

POSCAR file:
```
BaCdRh2
1.0
-2.0926 2.0926 4.8857
2.0926 -2.0926 4.8857
2.0926 2.0926 -4.8857
Rh Ba Cd
2 1 1
direct
0.2500 0.7500 0.5000
0.0000 0.0000 0.0000
0.5000 0.5000 0.0000
0.7500 0.2500 0.5000
```

Properties
D(E_F): 0.725 states/eV/atom
Space group: I-4m2
M_tot: 0.000 μB/f.u.

Entry 9:
This record from Alexandria via LeMat-Bulk describes crystalline Ba3Cd4Rh at its relaxed geometry. The functional is PBE.

POSCAR file:
```
Ba3Cd4Rh
1.0
6.9025 0.0000 0.0000
0.0000 6.1471 0.0000
0.0000 0.0000 12.8060
Rh Cd Ba
2 8 6
direct
0.3221 0.0000 0.5000
0.6779 0.5000 0.0000
0.6668 0.0000 0.3767
0.0226 0.7588 0.0000
0.0226 0.2412 0.0000
0.3332 0.5000 0.8767
0.3332 0.5000 0.1233
0.9774 0.2588 0.5000
0.9774 0.7412 0.5000
0.6668 0.0000 0.6233
0.1986 0.0000 0.2726
0.8014 0.5000 0.2274
0.4489 0.5000 0.5000
0.1986 0.0000 0.7274
0.5511 0.0000 0.0000
0.8014 0.5000 0.7726
```

Properties
D(E_F): 0.797 states/eV/atom
Space group: Pmmn
M_tot: 0.000 μB/f.u.

Entry 10:
This record from Alexandria via LeMat-Bulk describes crystalline Ba3CdRh2 at its relaxed geometry. The functional is PBE.

POSCAR file:
```
Ba3CdRh2
1.0
7.9665 0.0000 -2.5501
0.0000 9.7271 0.0000
0.0359 0.0000 10.3493
Ba Rh Cd
12 8 4
direct
0.1649 0.4706 0.4082
0.8351 0.5294 0.5918
0.9150 0.7332 0.1330
0.6649 0.0294 0.9082
0.5850 0.2332 0.3670
0.4150 0.7668 0.6330
0.8658 0.9680 0.6154
0.6342 0.4680 0.8846
0.1342 0.0320 0.3846
0.3351 0.9706 0.0918
0.0850 0.2668 0.8670
0.3658 0.5320 0.1154
0.2002 0.2569 0.1928
0.2524 0.4899 0.7366
0.7524 0.0101 0.2366
0.2998 0.7569 0.3072
0.7002 0.2431 0.6928
0.7476 0.5101 0.2634
0.2476 0.9899 0.7634
0.7998 0.7431 0.8072
0.8612 0.2702 0.1726
0.6388 0.7702 0.3274
0.3612 0.2298 0.6726
0.1388 0.7298 0.8274
```

Properties
D(E_F): 0.460 states/eV/atom
Space group: P2_1/c
M_tot: 0.000 μB/f.u.

Entry 11:
This record from Alexandria via LeMat-Bulk describes crystalline BaCd2Rh at its relaxed geometry. The functional is PBE.

POSCAR file:
```
BaCd2Rh
1.0
4.7096 -0.0407 0.0734
2.3807 4.0638 0.0734
2.2932 1.3011 5.9571
Cd Ba Rh
2 1 1
direct
0.0479 0.0479 0.8558
0.4521 0.4521 0.6442
0.2500 0.2500 0.2500
0.7500 0.7500 0.7500
```

Properties
D(E_F): 0.658 states/eV/atom
Space group: C2/m
M_tot: 0.000 μB/f.u.

Entry 12:
This record from Alexandria via LeMat-Bulk describes crystalline BaCd2Rh at its relaxed geometry. The functional is PBE.

POSCAR file:
```
BaCd2Rh
1.0
4.8337 0.0000 0.0000
0.0000 10.1228 0.0000
-2.4168 -5.0614 9.0444
Cd Ba Rh
8 4 4
direct
0.6971 0.3631 0.3942
0.0981 0.0981 0.1963
0.3029 0.6369 0.6058
0.3029 0.9688 0.6058
0.0772 0.5772 0.1544
0.6971 0.0312 0.3942
0.9228 0.4228 0.8456
0.9019 0.9019 0.8037
0.5000 0.2396 0.0000
0.7053 0.7053 0.4106
0.2947 0.2947 0.5894
0.5000 0.7604 0.0000
0.8531 0.5924 0.7062
0.1469 0.4076 0.2938
0.1469 0.8862 0.2938
0.8531 0.1138 0.7062
```

Properties
D(E_F): 0.295 states/eV/atom
Space group: Immm
M_tot: 0.000 μB/f.u.

no.,E_tot (eV/atom)
1,-2.19
2,-3.18
3,-4.25
4,-4.02
5,-5.30
6,-2.40
7,-2.59
8,-4.14
9,-2.39
10,-3.73
11,-2.98
12,-3.00